# NaSi3Pt (PBE, optimized geometry)
# Electronic total energy ... -3.04 eV per atom
# Offset from the most stable computed form ... 1997 meV per atom
# Formation energy from raw total energies ... 8.41 eV/f.u.
data_NaSi3Pt
_chemical_formula_sum 'Na1 Si3 Pt1'
_space_group_name_H-M_alt 'P m -3 m'
_space_group_IT_number 221
_space_group_name_Hall '-P 4 2 3'
_cell_length_a 4.723
_cell_length_b 4.723
_cell_length_c 4.723
_cell_angle_alpha 90.00
_cell_angle_beta 90.00
_cell_angle_gamma 90.00
loop_
_atom_site_label
_atom_site_type_symbol
_atom_site_fract_x
_atom_site_fract_y
_atom_site_fract_z
_atom_site_occupancy
Na1 Na 0.000 0.000 0.000 1
Si1 Si 0.000 0.000 0.500 1
Pt1 Pt 0.500 0.500 0.500 1

***

# NaSiPt2 (PBE, optimized geometry)
# Electronic total energy ... -5.17 eV per atom
# Formation energy from raw total energies ... -1.87 eV/f.u.
data_NaSiPt2
_chemical_formula_sum 'Na1 Si1 Pt2'
_space_group_name_H-M_alt 'P 4/m m m'
_space_group_IT_number 123
_space_group_name_Hall '-P 4 2'
_cell_length_a 2.920
_cell_length_b 2.920
_cell_length_c 7.757
_cell_angle_alpha 90.00
_cell_angle_beta 90.00
_cell_angle_gamma 90.00
loop_
_atom_site_label
_atom_site_type_symbol
_atom_site_fract_x
_atom_site_fract_y
_atom_site_fract_z
_atom_site_occupancy
Na1 Na 0.000 0.000 0.000 1
Si1 Si 0.000 0.000 0.500 1
Pt1 Pt 0.500 0.500 0.311 1

***

# NaSm2Si4Pt3 (PBE, optimized geometry)
# Electronic total energy ... -5.89 eV per atom
# Formation energy from raw total energies ... -8.29 eV/f.u.
data_NaSm2Si4Pt3
_chemical_formula_sum 'Na1 Sm2 Si4 Pt3'
_space_group_name_H-M_alt 'P -4 m 2'
_space_group_IT_number 115
_space_group_name_Hall 'P -4 -2'
_cell_length_a 4.259
_cell_length_b 4.259
_cell_length_c 10.202
_cell_angle_alpha 90.00
_cell_angle_beta 90.00
_cell_angle_gamma 90.00
loop_
_atom_site_label
_atom_site_type_symbol
_atom_site_fract_x
_atom_site_fract_y
_atom_site_fract_z
_atom_site_occupancy
Na1 Na 0.000 0.000 0.000 1
Sm1 Sm 0.000 0.500 0.742 1
Si1 Si 0.000 0.000 0.500 1
Si2 Si 0.000 0.500 0.149 1
Si3 Si 0.500 0.500 0.500 1
Pt1 Pt 0.000 0.500 0.385 1
Pt2 Pt 0.500 0.500 0.000 1

***

# NaSm2Si3Pt12 (PBE, optimized geometry)
# Electronic total energy ... -5.97 eV per atom
# Formation energy from raw total energies ... -7.91 eV/f.u.
data_NaSm2Si3Pt12
_chemical_formula_sum 'Na3 Sm6 Si9 Pt36'
_space_group_name_H-M_alt 'R -3 m'
_space_group_IT_number 166
_space_group_name_Hall '-R 3 2"'
_cell_length_a 8.4740
_cell_length_b 8.4740
_cell_length_c 16.7423
_cell_angle_alpha 90.00
_cell_angle_beta 90.00
_cell_angle_gamma 120.00
loop_
_atom_site_label
_atom_site_type_symbol
_atom_site_fract_x
_atom_site_fract_y
_atom_site_fract_z
_atom_site_occupancy
Na1 Na 0.0000 0.0000 0.0000 1
Sm1 Sm 0.0000 0.0000 0.3934 1
Si1 Si 0.0000 0.5000 0.5000 1
Pt1 Pt 0.0158 0.5079 0.3629 1
Pt2 Pt 0.0315 0.5158 0.8667 1

***

# Na2Si2SnPt5 (PBE, optimized geometry)
# Electronic total energy ... -5.31 eV per atom
# Formation energy from raw total energies ... -5.38 eV/f.u.
data_Na2Si2SnPt5
_chemical_formula_sum 'Na4 Si4 Sn2 Pt10'
_space_group_name_H-M_alt 'P 4/m b m'
_space_group_IT_number 127
_space_group_name_Hall '-P 4 2ab'
_cell_length_a 10.072
_cell_length_b 10.072
_cell_length_c 3.418
_cell_angle_alpha 90.00
_cell_angle_beta 90.00
_cell_angle_gamma 90.00
loop_
_atom_site_label
_atom_site_type_symbol
_atom_site_fract_x
_atom_site_fract_y
_atom_site_fract_z
_atom_site_occupancy
Na1 Na 0.176 0.324 0.000 1
Si1 Si 0.125 0.625 0.000 1
Sn1 Sn 0.000 0.000 0.000 1
Pt1 Pt 0.000 0.500 0.500 1
Pt2 Pt 0.061 0.783 0.500 1

***

# NaSr2SiPt (PBE, optimized geometry)
# Electronic total energy ... -3.65 eV per atom
# Formation energy from raw total energies ... -2.12 eV/f.u.
data_NaSr2SiPt
_chemical_formula_sum 'Na1 Sr2 Si1 Pt1'
_space_group_name_H-M_alt 'P 4/m m m'
_space_group_IT_number 123
_space_group_name_Hall '-P 4 2'
_cell_length_a 6.050
_cell_length_b 6.050
_cell_length_c 4.611
_cell_angle_alpha 90.00
_cell_angle_beta 90.00
_cell_angle_gamma 90.00
loop_
_atom_site_label
_atom_site_type_symbol
_atom_site_fract_x
_atom_site_fract_y
_atom_site_fract_z
_atom_site_occupancy
Na1 Na 0.000 0.000 0.000 1
Sr1 Sr 0.000 0.500 0.500 1
Si1 Si 0.500 0.500 0.000 1
Pt1 Pt 0.500 0.500 0.500 1

***

# Na2ZnSi2Pt5 (PBE, optimized geometry)
# Electronic total energy ... -5.09 eV per atom
# Formation energy from raw total energies ... -5.90 eV/f.u.
data_Na2ZnSi2Pt5
_chemical_formula_sum 'Na4 Zn2 Si4 Pt10'
_space_group_name_H-M_alt 'P 4/m b m'
_space_group_IT_number 127
_space_group_name_Hall '-P 4 2ab'
_cell_length_a 10.761
_cell_length_b 10.761
_cell_length_c 2.838
_cell_angle_alpha 90.00
_cell_angle_beta 90.00
_cell_angle_gamma 90.00
loop_
_atom_site_label
_atom_site_type_symbol
_atom_site_fract_x
_atom_site_fract_y
_atom_site_fract_z
_atom_site_occupancy
Na1 Na 0.175 0.325 0.000 1
Zn1 Zn 0.000 0.000 0.000 1
Si1 Si 0.134 0.634 0.000 1
Pt1 Pt 0.000 0.500 0.500 1
Pt2 Pt 0.059 0.799 0.500 1

***

# NaZnSiPt (PBE, optimized geometry)
# Electronic total energy ... -3.89 eV per atom
# Formation energy from raw total energies ... -1.52 eV/f.u.
data_NaZnSiPt
_chemical_formula_sum 'Na2 Zn2 Si2 Pt2'
_space_group_name_H-M_alt 'C 1 m 1'
_space_group_IT_number 8
_space_group_name_Hall 'C -2y'
_cell_length_a 7.257
_cell_length_b 4.180
_cell_length_c 5.832
_cell_angle_alpha 90.00
_cell_angle_beta 114.53
_cell_angle_gamma 90.00
loop_
_atom_site_label
_atom_site_type_symbol
_atom_site_fract_x
_atom_site_fract_y
_atom_site_fract_z
_atom_site_occupancy
Na1 Na 0.000 0.000 0.000 1
Zn1 Zn 0.301 0.500 0.403 1
Si1 Si 0.041 0.500 0.622 1
Pt1 Pt 0.191 0.000 0.573 1

***

# NaSm2Pt (PBE, optimized geometry)
# Energy relative to the elements ... -0.4722 eV/atom
# Electronic total energy ... -4.67 eV per atom
data_NaSm2Pt
_chemical_formula_sum 'Na1 Sm2 Pt1'
_space_group_name_H-M_alt 'P 4/m m m'
_space_group_IT_number 123
_space_group_name_Hall '-P 4 2'
_cell_length_a 3.555
_cell_length_b 3.555
_cell_length_c 9.606
_cell_angle_alpha 90.00
_cell_angle_beta 90.00
_cell_angle_gamma 90.00
loop_
_atom_site_label
_atom_site_type_symbol
_atom_site_fract_x
_atom_site_fract_y
_atom_site_fract_z
_atom_site_occupancy
Na1 Na 0.000 0.000 0.000 1
Sm1 Sm 0.500 0.500 0.324 1
Pt1 Pt 0.000 0.000 0.500 1

***

# NaSmPt2 (PBE, optimized geometry)
# Energy relative to the elements ... -0.6878 eV/atom
# Electronic total energy ... -5.22 eV per atom
data_NaSmPt2
_chemical_formula_sum 'Na1 Sm1 Pt2'
_space_group_name_H-M_alt 'P 4/m m m'
_space_group_IT_number 123
_space_group_name_Hall '-P 4 2'
_cell_length_a 3.662
_cell_length_b 3.662
_cell_length_c 6.047
_cell_angle_alpha 90.00
_cell_angle_beta 90.00
_cell_angle_gamma 90.00
loop_
_atom_site_label
_atom_site_type_symbol
_atom_site_fract_x
_atom_site_fract_y
_atom_site_fract_z
_atom_site_occupancy
Na1 Na 0.000 0.000 0.000 1
Sm1 Sm 0.000 0.000 0.500 1
Pt1 Pt 0.500 0.500 0.244 1

***

# Na2SmPt9 (PBE, optimized geometry)
# Energy relative to the elements ... -0.5123 eV/atom
# Electronic total energy ... -5.66 eV per atom
data_Na2SmPt9
_chemical_formula_sum 'Na6 Sm3 Pt27'
_space_group_name_H-M_alt 'R -3 m'
_space_group_IT_number 166
_space_group_name_Hall '-R 3 2"'
_cell_length_a 5.3729
_cell_length_b 5.3729
_cell_length_c 26.5328
_cell_angle_alpha 90.00
_cell_angle_beta 90.00
_cell_angle_gamma 120.00
loop_
_atom_site_label
_atom_site_type_symbol
_atom_site_fract_x
_atom_site_fract_y
_atom_site_fract_z
_atom_site_occupancy
Na1 Na 0.0000 0.0000 0.1450 1
Sm1 Sm 0.0000 0.0000 0.0000 1
Pt1 Pt 0.0000 0.0000 0.3328 1
Pt2 Pt 0.0000 0.0000 0.5000 1
Pt3 Pt 0.0024 0.5012 0.9156 1

***

# NaSm2Pt (PBE, optimized geometry)
# Energy relative to the elements ... -0.4170 eV/atom
# Electronic total energy ... -4.62 eV per atom
data_NaSm2Pt
_chemical_formula_sum 'Na3 Sm6 Pt3'
_space_group_name_H-M_alt 'R -3 m'
_space_group_IT_number 166
_space_group_name_Hall '-R 3 2"'
_cell_length_a 4.1711
_cell_length_b 4.1711
_cell_length_c 31.5030
_cell_angle_alpha 90.00
_cell_angle_beta 90.00
_cell_angle_gamma 120.00
loop_
_atom_site_label
_atom_site_type_symbol
_atom_site_fract_x
_atom_site_fract_y
_atom_site_fract_z
_atom_site_occupancy
Na1 Na 0.0000 0.0000 0.0000 1
Sm1 Sm 0.0000 0.0000 0.1194 1
Pt1 Pt 0.0000 0.0000 0.5000 1

***

Repeat the ninth record exactly.
# NaSm2Pt (PBE, optimized geometry)
# Energy relative to the elements ... -0.4722 eV/atom
# Electronic total energy ... -4.67 eV per atom
data_NaSm2Pt
_chemical_formula_sum 'Na1 Sm2 Pt1'
_space_group_name_H-M_alt 'P 4/m m m'
_space_group_IT_number 123
_space_group_name_Hall '-P 4 2'
_cell_length_a 3.555
_cell_length_b 3.555
_cell_length_c 9.606
_cell_angle_alpha 90.00
_cell_angle_beta 90.00
_cell_angle_gamma 90.00
loop_
_atom_site_label
_atom_site_type_symbol
_atom_site_fract_x
_atom_site_fract_y
_atom_site_fract_z
_atom_site_occupancy
Na1 Na 0.000 0.000 0.000 1
Sm1 Sm 0.500 0.500 0.324 1
Pt1 Pt 0.000 0.000 0.500 1

***

Question: Among the records above, which one has the lowest electronic total energy?
Answer: NaSm2Si3Pt12